Computed, not measured: a relaxed HgGeAu2 crystal at the PBE level of DFT.

Values from the calculation:
Space-group type: Pbca, No. 61
Energy in eV per atom: -2.856
Energy relative to the lowest polymorph listed for this composition in meV per atom: 0

```
HgGeAu2
1.0
-1.6424 -2.3228 4.9860
3.5265 -5.8604 -1.5685
14.0927 6.4354 7.6402
Hg Au Ge
8 16 8
direct
0.2491 0.6182 0.8048
0.7491 0.8818 0.8048
0.7509 0.3818 0.1952
0.7491 0.3818 0.6952
0.2509 0.1182 0.1952
0.2491 0.1182 0.6952
0.7509 0.8818 0.3048
0.2509 0.6182 0.3048
0.9998 0.2489 0.5534
0.5002 0.2489 0.0534
0.0002 0.7511 0.4466
0.0002 0.2511 0.0534
0.0011 0.7498 0.1664
0.9989 0.7502 0.6664
0.4998 0.7511 0.9466
0.9998 0.7489 0.9466
0.5002 0.7489 0.4466
0.0011 0.2498 0.3336
0.9989 0.2502 0.8336
0.5011 0.2502 0.3336
0.4989 0.2498 0.8336
0.4998 0.2511 0.5534
0.5011 0.7502 0.1664
0.4989 0.7498 0.6664
0.2486 0.5762 0.5582
0.7514 0.9238 0.0582
0.2514 0.5762 0.0582
0.7486 0.4238 0.9418
0.7514 0.4238 0.4418
0.2486 0.0762 0.9418
0.7486 0.9238 0.5582
0.2514 0.0762 0.4418
```